Entry 1:
# CdBi3Ru, relaxed, DFT PBEsol
data_CdBi3Ru
_chemical_formula_sum 'Cd1 Bi3 Ru1'
_symmetry_space_group_name_H-M 'P m -3 m'
_symmetry_Int_Tables_number 221
_symmetry_space_group_name_Hall '-P 4 2 3'
_cell_length_a 5.4289
_cell_length_b 5.4289
_cell_length_c 5.4289
_cell_angle_alpha 90.00
_cell_angle_beta 90.00
_cell_angle_gamma 90.00
loop_
_atom_site_label
_atom_site_type_symbol
_atom_site_fract_x
_atom_site_fract_y
_atom_site_fract_z
Cd1 Cd 0.0000 0.0000 0.0000
Bi1 Bi 0.0000 0.0000 0.5000
Ru1 Ru 0.5000 0.5000 0.5000
# Energy of formation from the pure elements in eV per atom: 1.549
# Total DFT energy (no corrections) in eV/cell: -16.5
# Mass density in g/cm3: 8.722



Entry 2:
# CdBi2S, relaxed, DFT PBEsol
data_CdBi2S
_chemical_formula_sum 'Cd4 Bi8 S4'
_symmetry_space_group_name_H-M 'I -4 2 d'
_symmetry_Int_Tables_number 122
_symmetry_space_group_name_Hall 'I -4 2bw'
_cell_length_a 4.7175
_cell_length_b 4.7175
_cell_length_c 20.0732
_cell_angle_alpha 90.00
_cell_angle_beta 90.00
_cell_angle_gamma 90.00
loop_
_atom_site_label
_atom_site_type_symbol
_atom_site_fract_x
_atom_site_fract_y
_atom_site_fract_z
Cd1 Cd 0.0000 0.0000 0.0000
Bi1 Bi 0.2122 0.2500 0.6250
S1 S 0.0000 0.0000 0.5000
# Total DFT energy (no corrections) in eV/cell: -54.8
# Mass density in g/cm3: 8.363



Entry 3:
# CdBiS2, relaxed, DFT PBEsol
data_CdBiS2
_chemical_formula_sum 'Cd4 Bi4 S8'
_symmetry_space_group_name_H-M 'I -4 2 d'
_symmetry_Int_Tables_number 122
_symmetry_space_group_name_Hall 'I -4 2bw'
_cell_length_a 5.6054
_cell_length_b 5.6054
_cell_length_c 14.2822
_cell_angle_alpha 90.00
_cell_angle_beta 90.00
_cell_angle_gamma 90.00
loop_
_atom_site_label
_atom_site_type_symbol
_atom_site_fract_x
_atom_site_fract_y
_atom_site_fract_z
Cd1 Cd 0.0000 0.0000 0.0000
Bi1 Bi 0.0000 0.0000 0.5000
S1 S 0.2243 0.2500 0.1250
# Total DFT energy (no corrections) in eV/cell: -59.6
# Mass density in g/cm3: 5.706



Entry 4:
# ZnCd2BiS, relaxed, DFT PBEsol
data_ZnCd2BiS
_chemical_formula_sum 'Zn1 Cd2 Bi1 S1'
_symmetry_space_group_name_H-M 'P 4/m m m'
_symmetry_Int_Tables_number 123
_symmetry_space_group_name_Hall '-P 4 2'
_cell_length_a 4.8793
_cell_length_b 4.8793
_cell_length_c 5.3013
_cell_angle_alpha 90.00
_cell_angle_beta 90.00
_cell_angle_gamma 90.00
loop_
_atom_site_label
_atom_site_type_symbol
_atom_site_fract_x
_atom_site_fract_y
_atom_site_fract_z
Zn1 Zn 0.0000 0.0000 0.0000
Cd1 Cd 0.0000 0.5000 0.0000
Bi1 Bi 0.0000 0.0000 0.5000
S1 S 0.5000 0.5000 0.5000
# Total DFT energy (no corrections) in eV/cell: -10.7
# Mass density in g/cm3: 6.990